# B3TeAs (PBE, relaxed)
# excess energy over the best structure of this formula in the dataset	529	meV per atom
# energy relative to the elements, uncorrected	2.1886	eV per atom
# mass density	4.482	g cm⁻³
data_B3TeAs
_chemical_formula_sum 'B3 Te1 As1'
_cell_length_a 4.432
_cell_length_b 4.432
_cell_length_c 4.432
_cell_angle_alpha 90.00
_cell_angle_beta 90.00
_cell_angle_gamma 90.00
_space_group_name_H-M_alt 'P m -3 m'
_space_group_IT_number 221
_space_group_name_Hall '-P 4 2 3'
loop_
_atom_site_label
_atom_site_fract_x
_atom_site_fract_y
_atom_site_fract_z
B1 0.000 0.000 0.500
Te1 0.000 0.000 0.000
As1 0.500 0.500 0.500

---

# Sm2Zn3Ge (PBE, relaxed)
# DFT formation energy	-0.50	eV per atom
# excess energy over the best structure of this formula in the dataset	22	meV per atom
# mass density	7.270	g cm⁻³
data_Sm2Zn3Ge
_chemical_formula_sum 'Sm2 Zn3 Ge1'
_cell_length_a 3.983
_cell_length_b 4.301
_cell_length_c 7.593
_cell_angle_alpha 90.00
_cell_angle_beta 90.00
_cell_angle_gamma 90.00
_space_group_name_H-M_alt 'P m m 2'
_space_group_IT_number 25
_space_group_name_Hall 'P 2 -2'
loop_
_atom_site_label
_atom_site_fract_x
_atom_site_fract_y
_atom_site_fract_z
Sm1 0.000 0.000 0.000
Sm2 0.000 0.500 0.472
Zn1 0.500 0.000 0.657
Zn2 0.500 0.500 0.148
Zn3 0.500 0.500 0.817
Ge1 0.500 0.000 0.324

---

# BeTe2Cl (PBE, relaxed)
# excess energy over the best structure of this formula in the dataset	816	meV per atom
# energy relative to the elements, uncorrected	0.4621	eV per atom
# mass density	5.839	g cm⁻³
data_BeTe2Cl
_chemical_formula_sum 'Be4 Te8 Cl4'
_cell_length_a 6.985
_cell_length_b 6.985
_cell_length_c 6.985
_cell_angle_alpha 90.00
_cell_angle_beta 90.00
_cell_angle_gamma 90.00
_space_group_name_H-M_alt 'F m -3 m'
_space_group_IT_number 225
_space_group_name_Hall '-F 4 2 3'
loop_
_atom_site_label
_atom_site_fract_x
_atom_site_fract_y
_atom_site_fract_z
Be1 0.000 0.000 0.000
Te1 0.250 0.250 0.250
Cl1 0.000 0.000 0.500

---

# TiBe2TlV (PBE, relaxed)
# DFT formation energy	1.44	eV per atom
# mass density	5.666	g cm⁻³
data_TiBe2TlV
_chemical_formula_sum 'Ti1 Be2 Tl1 V1'
_cell_length_a 4.322
_cell_length_b 4.322
_cell_length_c 5.041
_cell_angle_alpha 90.00
_cell_angle_beta 90.00
_cell_angle_gamma 90.00
_space_group_name_H-M_alt 'P 4/m m m'
_space_group_IT_number 123
_space_group_name_Hall '-P 4 2'
loop_
_atom_site_label
_atom_site_fract_x
_atom_site_fract_y
_atom_site_fract_z
Ti1 0.000 0.000 0.000
Be1 0.000 0.500 0.500
Tl1 0.500 0.500 0.500
V1 0.500 0.500 0.000

---

# Pm4Ho8Tm3 (PBE, relaxed)
# DFT formation energy	0.12	eV per atom
# excess energy over the best structure of this formula in the dataset	0	meV per atom
# mass density	8.212	g cm⁻³
data_Pm4Ho8Tm3
_chemical_formula_sum 'Pm12 Ho24 Tm9'
_cell_length_a 6.9137
_cell_length_b 6.9137
_cell_length_c 35.2613
_cell_angle_alpha 90.00
_cell_angle_beta 90.00
_cell_angle_gamma 120.00
_space_group_name_H-M_alt 'R -3 m'
_space_group_IT_number 166
_space_group_name_Hall '-R 3 2"'
loop_
_atom_site_label
_atom_site_fract_x
_atom_site_fract_y
_atom_site_fract_z
Pm1 0.0000 0.0000 0.0000
Pm2 0.0000 0.0000 0.1635
Pm3 0.0000 0.0000 0.5000
Ho1 0.0000 0.0000 0.2556
Ho2 0.0021 0.5010 0.2514
Tm1 0.0000 0.5000 0.0000

---

# Sc3Ga5O12 (PBE, relaxed)
# energy relative to the elements, uncorrected	-2.4315	eV per atom
# mass density	5.080	g cm⁻³
data_Sc3Ga5O12
_chemical_formula_sum 'Sc24 Ga40 O96'
_cell_length_a 12.088
_cell_length_b 12.088
_cell_length_c 12.088
_cell_angle_alpha 90.00
_cell_angle_beta 90.00
_cell_angle_gamma 90.00
_space_group_name_H-M_alt 'I a -3 d'
_space_group_IT_number 230
_space_group_name_Hall '-I 4bd 2c 3'
loop_
_atom_site_label
_atom_site_fract_x
_atom_site_fract_y
_atom_site_fract_z
Sc1 0.000 0.250 0.125
Ga1 0.000 0.000 0.000
Ga2 0.000 0.250 0.375
O1 0.024 0.060 0.652

---

# MgNbHg2Ru (PBE, relaxed)
# DFT formation energy	0.69	eV per atom
# mass density	8.004	g cm⁻³
data_MgNbHg2Ru
_chemical_formula_sum 'Mg1 Nb1 Hg2 Ru1'
_cell_length_a 5.253
_cell_length_b 5.253
_cell_length_c 4.658
_cell_angle_alpha 90.00
_cell_angle_beta 90.00
_cell_angle_gamma 90.00
_space_group_name_H-M_alt 'P 4/m m m'
_space_group_IT_number 123
_space_group_name_Hall '-P 4 2'
loop_
_atom_site_label
_atom_site_fract_x
_atom_site_fract_y
_atom_site_fract_z
Mg1 0.000 0.000 0.000
Nb1 0.500 0.500 0.000
Hg1 0.000 0.500 0.500
Ru1 0.500 0.500 0.500

---

# ZrReBr (PBE, relaxed)
# excess energy over the best structure of this formula in the dataset	674	meV per atom
# energy relative to the elements, uncorrected	0.8165	eV per atom
# mass density	9.466	g cm⁻³
data_ZrReBr
_chemical_formula_sum 'Zr4 Re4 Br4'
_cell_length_a 6.306
_cell_length_b 6.306
_cell_length_c 6.306
_cell_angle_alpha 90.00
_cell_angle_beta 90.00
_cell_angle_gamma 90.00
_space_group_name_H-M_alt 'F -4 3 m'
_space_group_IT_number 216
_space_group_name_Hall 'F -4 2 3'
loop_
_atom_site_label
_atom_site_fract_x
_atom_site_fract_y
_atom_site_fract_z
Zr1 0.000 0.000 0.000
Re1 0.250 0.250 0.750
Br1 0.000 0.000 0.500

---

# LiNpAu2 (PBE, relaxed)
# DFT formation energy	-0.21	eV per atom
# excess energy over the best structure of this formula in the dataset	89	meV per atom
# mass density	12.603	g cm⁻³
data_LiNpAu2
_chemical_formula_sum 'Li3 Np3 Au6'
_cell_length_a 4.5370
_cell_length_b 4.5370
_cell_length_c 14.1434
_cell_angle_alpha 90.00
_cell_angle_beta 90.00
_cell_angle_gamma 120.00
_space_group_name_H-M_alt 'R -3 m'
_space_group_IT_number 166
_space_group_name_Hall '-R 3 2"'
loop_
_atom_site_label
_atom_site_fract_x
_atom_site_fract_y
_atom_site_fract_z
Li1 0.0000 0.0000 0.0000
Np1 0.0000 0.0000 0.5000
Au1 0.0000 0.0000 0.2791

---

# CdBH4 (PBE, relaxed)
# excess energy over the best structure of this formula in the dataset	17	meV per atom
# mass density	2.953	g cm⁻³
data_CdBH4
_chemical_formula_sum 'Cd4 B4 H16'
_cell_length_a 15.278
_cell_length_b 4.045
_cell_length_c 4.638
_cell_angle_alpha 90.00
_cell_angle_beta 92.89
_cell_angle_gamma 90.00
_space_group_name_H-M_alt 'C 1 2/m 1'
_space_group_IT_number 12
_space_group_name_Hall '-C 2y'
loop_
_atom_site_label
_atom_site_fract_x
_atom_site_fract_y
_atom_site_fract_z
Cd1 0.249 0.000 0.251
B1 0.017 0.000 0.680
H1 0.000 0.204 0.000
H2 0.023 0.246 0.220
H3 0.095 0.000 0.749

---

# Th4GaAu3 (PBE, relaxed)
# DFT formation energy	-0.57	eV per atom
# mass density	12.627	g cm⁻³
data_Th4GaAu3
_chemical_formula_sum 'Th4 Ga1 Au3'
_cell_length_a 3.879
_cell_length_b 4.532
_cell_length_c 11.883
_cell_angle_alpha 90.00
_cell_angle_beta 90.00
_cell_angle_gamma 90.00
_space_group_name_H-M_alt 'P m m 2'
_space_group_IT_number 25
_space_group_name_Hall 'P 2 -2'
loop_
_atom_site_label
_atom_site_fract_x
_atom_site_fract_y
_atom_site_fract_z
Th1 0.000 0.000 0.000
Th2 0.000 0.500 0.300
Th3 0.500 0.000 0.498
Th4 0.500 0.500 0.800
Ga1 0.500 0.000 0.225
Au1 0.000 0.000 0.726
Au2 0.000 0.500 0.572
Au3 0.500 0.500 0.082

---

# TlZnRe2 (PBE, relaxed)
# DFT formation energy	1.10	eV per atom
# excess energy over the best structure of this formula in the dataset	724	meV per atom
# mass density	16.320	g cm⁻³
data_TlZnRe2
_chemical_formula_sum 'Tl4 Zn4 Re8'
_cell_length_a 6.394
_cell_length_b 6.394
_cell_length_c 6.394
_cell_angle_alpha 90.00
_cell_angle_beta 90.00
_cell_angle_gamma 90.00
_space_group_name_H-M_alt 'F m -3 m'
_space_group_IT_number 225
_space_group_name_Hall '-F 4 2 3'
loop_
_atom_site_label
_atom_site_fract_x
_atom_site_fract_y
_atom_site_fract_z
Tl1 0.000 0.000 0.000
Zn1 0.000 0.000 0.500
Re1 0.250 0.250 0.250

---

# FeSiHgBiPt (PBE, relaxed)
# excess energy over the best structure of this formula in the dataset	0	meV per atom
# energy relative to the elements, uncorrected	-0.0580	eV per atom
# mass density	11.607	g cm⁻³
data_FeSiHgBiPt
_chemical_formula_sum 'Fe3 Si3 Hg3 Bi3 Pt3'
_cell_length_a 3.8167
_cell_length_b 3.8167
_cell_length_c 23.4299
_cell_angle_alpha 90.00
_cell_angle_beta 90.00
_cell_angle_gamma 120.00
_space_group_name_H-M_alt 'R 3 m'
_space_group_IT_number 160
_space_group_name_Hall 'R 3 -2"'
loop_
_atom_site_label
_atom_site_fract_x
_atom_site_fract_y
_atom_site_fract_z
Fe1 0.0000 0.0000 0.0000
Si1 0.0000 0.0000 0.3575
Hg1 0.0000 0.0000 0.1516
Bi1 0.0000 0.0000 0.5910
Pt1 0.0000 0.0000 0.7367

---

# LaAl2GaIr2 (PBE, relaxed)
# DFT formation energy	-0.34	eV per atom
# mass density	8.665	g cm⁻³
data_LaAl2GaIr2
_chemical_formula_sum 'La1 Al2 Ga1 Ir2'
_cell_length_a 4.637
_cell_length_b 4.637
_cell_length_c 5.768
_cell_angle_alpha 90.00
_cell_angle_beta 90.00
_cell_angle_gamma 90.00
_space_group_name_H-M_alt 'P 4/m m m'
_space_group_IT_number 123
_space_group_name_Hall '-P 4 2'
loop_
_atom_site_label
_atom_site_fract_x
_atom_site_fract_y
_atom_site_fract_z
La1 0.000 0.000 0.000
Al1 0.500 0.500 0.255
Ga1 0.000 0.000 0.500
Ir1 0.000 0.500 0.500

---

# PmNd3Sm5 (PBE, relaxed)
# DFT formation energy	0.37	eV per atom
# excess energy over the best structure of this formula in the dataset	96	meV per atom
# mass density	6.645	g cm⁻³
data_PmNd3Sm5
_chemical_formula_sum 'Pm4 Nd12 Sm20'
_cell_length_a 16.953
_cell_length_b 8.383
_cell_length_c 12.473
_cell_angle_alpha 90.00
_cell_angle_beta 131.43
_cell_angle_gamma 90.00
_space_group_name_H-M_alt 'C 1 2/m 1'
_space_group_IT_number 12
_space_group_name_Hall '-C 2y'
loop_
_atom_site_label
_atom_site_fract_x
_atom_site_fract_y
_atom_site_fract_z
Pm1 0.111 0.000 0.371
Nd1 0.000 0.000 0.000
Nd2 0.000 0.000 0.500
Nd3 0.160 0.000 0.854
Nd4 0.201 0.500 0.803
Sm1 0.000 0.318 0.500
Sm2 0.056 0.500 0.919
Sm3 0.139 0.500 0.446
Sm4 0.212 0.305 0.274

---

# La7Pr16Sm6 (PBE, relaxed)
# DFT formation energy	0.22	eV per atom
# mass density	6.505	g cm⁻³
data_La7Pr16Sm6
_chemical_formula_sum 'La28 Pr64 Sm24'
_cell_length_a 16.155
_cell_length_b 16.155
_cell_length_c 16.155
_cell_angle_alpha 90.00
_cell_angle_beta 90.00
_cell_angle_gamma 90.00
_space_group_name_H-M_alt 'F m -3 m'
_space_group_IT_number 225
_space_group_name_Hall '-F 4 2 3'
loop_
_atom_site_label
_atom_site_fract_x
_atom_site_fract_y
_atom_site_fract_z
La1 0.000 0.000 0.000
La2 0.000 0.250 0.250
Pr1 0.122 0.122 0.122
Pr2 0.156 0.156 0.344
Sm1 0.000 0.000 0.293

---

# YLuGa6 (PBE, relaxed)
# DFT formation energy	-0.50	eV per atom
# mass density	7.400	g cm⁻³
data_YLuGa6
_chemical_formula_sum 'Y2 Lu2 Ga12'
_cell_length_a 6.0935
_cell_length_b 6.0935
_cell_length_c 9.5215
_cell_angle_alpha 90.00
_cell_angle_beta 90.00
_cell_angle_gamma 120.00
_space_group_name_H-M_alt 'P 63/m m c'
_space_group_IT_number 194
_space_group_name_Hall '-P 6c 2c'
loop_
_atom_site_label
_atom_site_fract_x
_atom_site_fract_y
_atom_site_fract_z
Y1 0.3333 0.6667 0.2500
Lu1 0.0000 0.0000 0.0000
Ga1 0.0000 0.5000 0.0000
Ga2 0.1816 0.3633 0.7500

---

# CdCo (PBE, relaxed)
# DFT formation energy	0.43	eV per atom
# mass density	9.059	g cm⁻³
data_CdCo
_chemical_formula_sum 'Cd2 Co2'
_cell_length_a 2.8373
_cell_length_b 2.8373
_cell_length_c 9.0101
_cell_angle_alpha 90.00
_cell_angle_beta 90.00
_cell_angle_gamma 120.00
_space_group_name_H-M_alt 'P 63/m m c'
_space_group_IT_number 194
_space_group_name_Hall '-P 6c 2c'
loop_
_atom_site_label
_atom_site_fract_x
_atom_site_fract_y
_atom_site_fract_z
Cd1 0.0000 0.0000 0.0000
Co1 0.3333 0.6667 0.2500

---

# CeGd2Te (PBE, relaxed)
# excess energy over the best structure of this formula in the dataset	42	meV per atom
# energy relative to the elements, uncorrected	-0.4936	eV per atom
# mass density	7.427	g cm⁻³
data_CeGd2Te
_chemical_formula_sum 'Ce3 Gd6 Te3'
_cell_length_a 3.8612
_cell_length_b 3.8612
_cell_length_c 30.2441
_cell_angle_alpha 90.00
_cell_angle_beta 90.00
_cell_angle_gamma 120.00
_space_group_name_H-M_alt 'R -3 m'
_space_group_IT_number 166
_space_group_name_Hall '-R 3 2"'
loop_
_atom_site_label
_atom_site_fract_x
_atom_site_fract_y
_atom_site_fract_z
Ce1 0.0000 0.0000 0.0000
Gd1 0.0000 0.0000 0.2383
Te1 0.0000 0.0000 0.5000

---

# NaLiCa2Rh (PBE, relaxed)
# DFT formation energy	0.03	eV per atom
# excess energy over the best structure of this formula in the dataset	102	meV per atom
# mass density	2.155	g cm⁻³
data_NaLiCa2Rh
_chemical_formula_sum 'Na1 Li1 Ca2 Rh1'
_cell_length_a 5.427
_cell_length_b 5.427
_cell_length_c 5.573
_cell_angle_alpha 90.00
_cell_angle_beta 90.00
_cell_angle_gamma 90.00
_space_group_name_H-M_alt 'P 4/m m m'
_space_group_IT_number 123
_space_group_name_Hall '-P 4 2'
loop_
_atom_site_label
_atom_site_fract_x
_atom_site_fract_y
_atom_site_fract_z
Na1 0.000 0.000 0.000
Li1 0.500 0.500 0.000
Ca1 0.000 0.500 0.500
Rh1 0.000 0.000 0.500